[1]
The following is a PBE calculation of an optimized crystal structure of MgAlTlNi, from OQMD.

a b c (Å): 4.679 4.679 4.679
angles (deg): 60.00 60.00 60.00
Fractional positions:
Mg: 0.750 0.750 0.750
Ni: 0.500 0.500 0.500
Tl: 0.250 0.250 0.250
Al: 0.000 0.000 0.000

Results
The total magnetization is 0.000 μB per atom.

=====

[2]
The following is a PBE calculation of an optimized crystal structure of PrDyNO, from OQMD.

a b c (Å): 4.446 4.446 8.629
angles (deg): 90.00 90.00 90.00
Fractional positions:
Dy: 0.250 0.750 0.500
Dy: 0.750 0.250 0.500
O: 0.250 0.750 0.000
O: 0.750 0.250 0.000
Pr: 0.750 0.750 0.892
Pr: 0.250 0.250 0.108
N: 0.250 0.250 0.567
N: 0.750 0.750 0.433

Results
The total magnetization is 0.002 μB per atom.

=====

Record-wise DFT total energy values, in eV/cell: -12.3 -59.3